An optimized crystal structure of Ac6PmHo, computed with GGA-PBE.

Output
Symmetry: C2/m, No. 12
Formation energy in eV per formula unit: 0.9

abc: 9.357 9.357 6.464
angles: 110.20 110.20 39.73
Element x y z (fractional)
Ac 0.118 0.118 0.086
Ac 0.249 0.249 0.706
Ac 0.382 0.382 0.352
Ac 0.618 0.618 0.648
Ac 0.751 0.751 0.294
Ac 0.882 0.882 0.914
Pm 0.500 0.500 0.000
Ho 0.000 0.000 0.500